[1]
# AcNdHoTh PBE relaxed
data_AcNdHoTh
_chemical_formula_sum 'Ac4 Nd4 Ho4 Th4'
_cell_length_a 8.281
_cell_length_b 8.281
_cell_length_c 8.281
_cell_angle_alpha 90.00
_cell_angle_beta 90.00
_cell_angle_gamma 90.00
_space_group_name_H-M_alt 'F -4 3 m'
_space_group_IT_number 216
_space_group_name_Hall 'F -4 2 3'
loop_
_atom_site_label
_atom_site_type_symbol
_atom_site_fract_x
_atom_site_fract_y
_atom_site_fract_z
Ac1 Ac 0.000 0.000 0.000
Nd1 Nd 0.250 0.250 0.250
Ho1 Ho 0.250 0.250 0.750
Th1 Th 0.000 0.000 0.500
# Mass density (g/cm3): 9.0
# Energy relative to the elements (meV/atom): 173
# Total energy (eV for the cell shown): -80.729


[2]
# AcNdHo2Tl4 PBE relaxed
data_AcNdHo2Tl4
_chemical_formula_sum 'Ac3 Nd3 Ho6 Tl12'
_cell_length_a 5.5253
_cell_length_b 5.5253
_cell_length_c 27.1656
_cell_angle_alpha 90.00
_cell_angle_beta 90.00
_cell_angle_gamma 120.00
_space_group_name_H-M_alt 'R -3 m'
_space_group_IT_number 166
_space_group_name_Hall '-R 3 2"'
loop_
_atom_site_label
_atom_site_type_symbol
_atom_site_fract_x
_atom_site_fract_y
_atom_site_fract_z
Ac1 Ac 0.0000 0.0000 0.0000
Nd1 Nd 0.0000 0.0000 0.5000
Ho1 Ho 0.0000 0.0000 0.2493
Tl1 Tl 0.0000 0.0000 0.1273
Tl2 Tl 0.0000 0.0000 0.3780
# Mass density (g/cm3): 10.5
# Energy relative to the elements (meV/atom): -325
# Total energy (eV for the cell shown): -90.284


[3]
# AcNdHoTm2 PBE relaxed
data_AcNdHoTm2
_chemical_formula_sum 'Ac4 Nd4 Ho4 Tm8'
_cell_length_a 6.438
_cell_length_b 17.597
_cell_length_c 6.443
_cell_angle_alpha 90.00
_cell_angle_beta 90.00
_cell_angle_gamma 90.00
_space_group_name_H-M_alt 'C m c m'
_space_group_IT_number 63
_space_group_name_Hall '-C 2c 2'
loop_
_atom_site_label
_atom_site_type_symbol
_atom_site_fract_x
_atom_site_fract_y
_atom_site_fract_z
Ac1 Ac 0.000 0.159 0.250
Nd1 Nd 0.000 0.348 0.250
Ho1 Ho 0.000 0.247 0.750
Tm1 Tm 0.249 0.500 0.000
# Mass density (g/cm3): 8.0
# Energy relative to the elements (meV/atom): 387
# Total energy (eV for the cell shown): -81.840


[4]
# AcNd3Ho6Tm2 PBE relaxed
data_AcNd3Ho6Tm2
_chemical_formula_sum 'Ac2 Nd6 Ho12 Tm4'
_cell_length_a 6.228
_cell_length_b 10.784
_cell_length_c 11.893
_cell_angle_alpha 90.00
_cell_angle_beta 100.01
_cell_angle_gamma 90.00
_space_group_name_H-M_alt 'C 1 2/m 1'
_space_group_IT_number 12
loop_
_space_group_symop_operation_xyz
'x,y,z'
'-x,-y,-z'
'-x,y,-z'
'x,-y,z'
'x+1/2,y+1/2,z'
'-x+1/2,-y+1/2,-z'
'-x+1/2,y+1/2,-z'
'x+1/2,-y+1/2,z'
loop_
_atom_site_label
_atom_site_type_symbol
_atom_site_fract_x
_atom_site_fract_y
_atom_site_fract_z
Ac1 Ac 0.000 0.000 0.000
Nd1 Nd 0.000 0.167 0.500
Nd2 Nd 0.000 0.500 0.500
Ho1 Ho 0.247 0.500 0.251
Ho2 Ho 0.248 0.332 0.750
Tm1 Tm 0.000 0.333 0.000
# Mass density (g/cm3): 8.4
# Energy relative to the elements (meV/atom): 31
# Total energy (eV for the cell shown): -108.910